# 1
Here is a relaxed CuIO2 crystal from the Alexandria database. Energies are from PBE.

Values from the calculation:
- energy relative to the elements, uncorrected (meV/atom) = 69.2
- raw total energy (eV per formula unit) = -15.286
- crystal system = trigonal

Lattice parameters (Å, degrees): 3.9603 3.9603 15.2977 90.00 90.00 120.00
Space group R-3m (No. 166, hexagonal axes)
Inequivalent atoms, fractional coordinates:
Cu (0.0000, 0.0000, 0.0000) x3
I (0.0000, 0.0000, 0.5000) x3
O (0.0000, 0.0000, 0.1195) x6


# 2
Here is a relaxed Dy4HoPb5 crystal from the Alexandria database. Energies are from PBE.

Values from the calculation:
- raw total energy (eV per formula unit) = -44.777
- crystal system = tetragonal
- formation energy from the elements (eV/atom) = -0.325

Lattice parameters (Å, degrees): 9.943 9.943 6.288 90.00 90.00 90.00
Space group I4 (No. 79)
Inequivalent atoms, fractional coordinates:
Dy (0.100, 0.300, 0.000) x8
Ho (0.000, 0.000, 0.497) x2
Pb (0.000, 0.000, 0.997) x2
Pb (0.100, 0.299, 0.500) x8